[1]
# YbPrMg2 PBE-GGA relaxed
data_YbPrMg2
_space_group_name_H-M_alt 'F m -3 m'
_space_group_IT_number 225
_space_group_name_Hall '-F 4 2 3'
_cell_length_a 7.798
_cell_length_b 7.798
_cell_length_c 7.798
_cell_angle_alpha 90.00
_cell_angle_beta 90.00
_cell_angle_gamma 90.00
loop_
_atom_site_label
_atom_site_type_symbol
_atom_site_fract_x
_atom_site_fract_y
_atom_site_fract_z
Yb1 Yb 0.000 0.000 0.000
Pr1 Pr 0.000 0.000 0.500
Mg1 Mg 0.250 0.250 0.250
# formation energy from the elements = -124 meV/atom
# total DFT energy (no corrections) = -2.498 eV per atom

=====

[2]
# Pr2MgZn6 PBE-GGA relaxed
data_Pr2MgZn6
_space_group_name_H-M_alt 'P -3 m 1'
_space_group_IT_number 164
_space_group_name_Hall '-P 3 2"'
_cell_length_a 5.9387
_cell_length_b 5.9387
_cell_length_c 6.0197
_cell_angle_alpha 90.00
_cell_angle_beta 90.00
_cell_angle_gamma 120.00
loop_
_atom_site_label
_atom_site_type_symbol
_atom_site_fract_x
_atom_site_fract_y
_atom_site_fract_z
Pr1 Pr 0.3333 0.6667 0.1510
Mg1 Mg 0.0000 0.0000 0.0000
Zn1 Zn 0.1799 0.3598 0.6531
# formation energy from the elements = -269 meV/atom
# total DFT energy (no corrections) = -2.358 eV per atom
# energy above the lowest structure with this stoichiometry = 0.0 meV per atom

=====

[3]
# Pr3MgZn4 PBE-GGA relaxed
data_Pr3MgZn4
_space_group_name_H-M_alt 'R -3 m'
_space_group_IT_number 166
_space_group_name_Hall '-R 3 2"'
_cell_length_a 5.0679
_cell_length_b 5.0679
_cell_length_c 25.8935
_cell_angle_alpha 90.00
_cell_angle_beta 90.00
_cell_angle_gamma 120.00
loop_
_atom_site_label
_atom_site_type_symbol
_atom_site_fract_x
_atom_site_fract_y
_atom_site_fract_z
Pr1 Pr 0.0000 0.0000 0.0000
Pr2 Pr 0.0000 0.0000 0.2422
Mg1 Mg 0.0000 0.0000 0.5000
Zn1 Zn 0.0000 0.0000 0.1257
Zn2 Zn 0.0000 0.0000 0.3759
# formation energy from the elements = -281 meV/atom
# total DFT energy (no corrections) = -2.910 eV per atom

=====

[4]
# Pr3Mg2Zn PBE-GGA relaxed
data_Pr3Mg2Zn
_space_group_name_H-M_alt 'P 4/m m m'
_space_group_IT_number 123
_space_group_name_Hall '-P 4 2'
_cell_length_a 3.812
_cell_length_b 3.812
_cell_length_c 11.762
_cell_angle_alpha 90.00
_cell_angle_beta 90.00
_cell_angle_gamma 90.00
loop_
_atom_site_label
_atom_site_type_symbol
_atom_site_fract_x
_atom_site_fract_y
_atom_site_fract_z
Pr1 Pr 0.000 0.000 0.000
Pr2 Pr 0.000 0.000 0.351
Mg1 Mg 0.500 0.500 0.172
Zn1 Zn 0.500 0.500 0.500
# formation energy from the elements = -176 meV/atom
# total DFT energy (no corrections) = -3.309 eV per atom
# energy above the lowest structure with this stoichiometry = 0.0 meV per atom

=====

[5]
# Pr2Mg5Zn12 PBE-GGA relaxed
data_Pr2Mg5Zn12
_space_group_name_H-M_alt 'R -3 m'
_space_group_IT_number 166
_space_group_name_Hall '-R 3 2"'
_cell_length_a 9.3476
_cell_length_b 9.3476
_cell_length_c 13.8710
_cell_angle_alpha 90.00
_cell_angle_beta 90.00
_cell_angle_gamma 120.00
loop_
_atom_site_label
_atom_site_type_symbol
_atom_site_fract_x
_atom_site_fract_y
_atom_site_fract_z
Pr1 Pr 0.0000 0.0000 0.1584
Mg1 Mg 0.0000 0.0000 0.3998
Mg2 Mg 0.0000 0.5000 0.0000
Zn1 Zn 0.0000 0.2934 0.5000
Zn2 Zn 0.0152 0.5076 0.6510
# formation energy from the elements = -206 meV/atom
# total DFT energy (no corrections) = -1.934 eV per atom

=====

[6]
# Pr2Mg3Zn4 PBE-GGA relaxed
data_Pr2Mg3Zn4
_space_group_name_H-M_alt 'C m c e'
_space_group_IT_number 64
_space_group_name_Hall '-C 2ac 2'
_cell_length_a 6.122
_cell_length_b 16.925
_cell_length_c 7.755
_cell_angle_alpha 90.00
_cell_angle_beta 90.00
_cell_angle_gamma 90.00
loop_
_atom_site_label
_atom_site_type_symbol
_atom_site_fract_x
_atom_site_fract_y
_atom_site_fract_z
Pr1 Pr 0.000 0.099 0.101
Mg1 Mg 0.000 0.000 0.500
Mg2 Mg 0.250 0.235 0.750
Zn1 Zn 0.000 0.163 0.488
Zn2 Zn 0.250 0.070 0.750
# formation energy from the elements = -189 meV/atom
# total DFT energy (no corrections) = -2.349 eV per atom